This record from the Alexandria database describes crystalline TlHgMo2 at its relaxed geometry. The functional is GGA-PBE.

abc: 5.542 5.542 2.885
angles: 98.83 98.83 117.25
Fractional positions:
Tl  0.000  0.000  0.000
Hg  0.500  0.500  0.000
Mo  0.000  0.500  0.500
Mo  0.500  0.000  0.500

Computed properties:
- total magnetic moment (Bohr magnetons per cell) = 0.000
- relative energy among the computed polymorphs (eV per atom) = 0.320
- calculated total energy (eV/atom) = -5.3033